This record from Alexandria describes a crystal of AgP2SO relaxed with PBEsol. The functional is SCAN.

POSCAR file:
```
AgP2SO
1.0
4.6886 0.0000 0.0000
0.0000 4.6886 0.0000
0.0000 0.0000 3.3158
Ag P S O
1 2 1 1
Cartesian
0.0000 0.0000 0.0000
0.0000 2.3443 1.6579
2.3443 0.0000 1.6579
2.3443 2.3443 1.6579
2.3443 2.3443 0.0000
```

Results
D(E_F): 1.4 states/eV/cell
VASP energy: -65.50 eV per cell

***

This record from Alexandria describes a crystal of LaMnMo2 relaxed with PBEsol. The functional is SCAN.

POSCAR file:
```
LaMnMo2
1.0
3.1776 0.0000 0.0000
0.0000 4.4207 0.0000
0.0000 0.0000 4.8991
La Mn Mo
1 1 2
Cartesian
0.0000 0.0000 0.0000
1.5888 2.2103 0.0000
0.0000 2.2103 2.4495
1.5888 0.0000 2.4495
```

Results
Distance to the lowest polymorph of the same formula: 154 meV per atom
D(E_F): 4.8 states/eV/cell
ΔH_f (0 K): 2.67 eV per formula unit
VASP energy: -128.46 eV per cell

***

- Which value of D(E_F) does entry 2 give?
  4.8 states/eV/cell

***

- What is the D(E_F) in the second record?
  4.8 states/eV/cell

***

- Which value of VASP energy does entry 2 give?
  -128.46 eV per cell

***

- Which formula does entry 1 have?
  AgP2SO